(1)
Material: CrCu3C
Method: DFT, PBE
State: optimized geometry

abc: 4.5223 4.5223 4.5223
angles: 90.00 90.00 90.00
Fractional coordinates of all 5 atoms:
Cr1 0.0000 0.0000 0.0000
C1 0.5000 0.5000 0.5000
Cu1 0.0000 0.5000 0.0000
Cu2 0.0000 0.0000 0.5000
Cu3 0.5000 0.0000 0.0000

Properties
D(E_F) ... 0.71 states/eV/atom
Space group ... No. 221

=====

(2)
Material: Ti2MnSnP
Method: DFT, PBE
State: optimized geometry

abc: 5.0258 4.6435 5.0258
angles: 90.00 90.00 90.00
Fractional coordinates of all 5 atoms:
P1 0.5000 0.5000 0.5000
Mn1 0.0000 0.5000 0.0000
Sn1 0.0000 0.0000 0.0000
Ti1 0.0000 0.0000 0.5000
Ti2 0.5000 0.0000 0.0000

Properties
D(E_F) ... 1.47 states/eV/atom
Space group ... No. 123

=====

(3)
Material: ZrFe4Ag
Method: DFT, PBE
State: optimized geometry

abc: 4.9248 4.9248 4.9248
angles: 60.00 60.00 60.00
Fractional coordinates of all 6 atoms:
Ag1 0.0000 0.0000 0.0000
Fe1 0.1263 0.6246 0.6246
Fe2 0.6246 0.6246 0.6246
Fe3 0.6246 0.1263 0.6246
Fe4 0.6246 0.6246 0.1263
Zr1 0.2500 0.2500 0.2500

Properties
D(E_F) ... 1.21 states/eV/atom
Space group ... No. 216

=====

(4)
Material: ZnIn2Re
Method: DFT, PBE
State: optimized geometry

abc: 3.5856 3.5856 5.7844
angles: 90.00 90.00 90.00
Fractional coordinates of all 4 atoms:
In1 0.0000 0.0000 0.9850
In2 0.5000 0.5000 0.2772
Re1 0.0000 0.0000 0.5080
Zn1 0.5000 0.5000 0.7298

Properties
D(E_F) ... 0.71 states/eV/atom
Space group ... No. 99

=====

no.,calculated volume (Å³ per cell),total energy (eV per atom),DFT formation energy (kcal/mol of atoms)
1,92.5,-3.73,57.6
2,117.3,-5.44,33.2
3,84.5,-7.59,-1.0
4,74.4,-4.35,10.4